Ho3Te2C: optimized geometry, GGA-PBE.

As for the density of states at the Fermi level: 2.9 states/eV/f.u. Its total magnetization is 0.00 μB/f.u. The crystal system is orthorhombic. The total energy is -5.8041 eV/atom. As for the energy above the most stable polymorph in this dataset: 2.9 kJ/mol of atoms.

a = 17.7212 Å, b = 5.9635 Å, c = 5.8613 Å
α = 90.00°, β = 90.00°, γ = 90.00°
Space group Cmc2_1 (No. 36)
Asymmetric unit:
Ho 0.0000 0.1920 0.0000 [4 per cell]
Ho 0.1286 0.2475 0.4686 [8 per cell]
Te 0.1739 0.2540 0.9697 [8 per cell]
C 0.0000 0.1995 0.4365 [4 per cell]